No. 1
Material: CaCoSbTe2
Method: DFT, PBE-GGA
State: relaxed

Output
ΔE_f (raw) ... -117 kJ/mol of formula units
DOS at the Fermi energy ... 3.861 states/eV per cell
Raw total energy ... -4.144 eV per atom
Energy relative to the lowest polymorph listed for this composition ... 0 meV/atom

```
data_CaCoSbTe2
_chemical_formula_sum 'Ca1 Co1 Sb1 Te2'
_cell_length_a 5.440
_cell_length_b 5.440
_cell_length_c 4.647
_cell_angle_alpha 90.00
_cell_angle_beta 90.00
_cell_angle_gamma 90.00
_symmetry_space_group_name_H-M 'P 1'
_symmetry_Int_Tables_number 1
loop_
_symmetry_equiv_pos_as_xyz
'x,y,z'
loop_
_atom_site_label
_atom_site_type_symbol
_atom_site_fract_x
_atom_site_fract_y
_atom_site_fract_z
_atom_site_occupancy
Co1 Co 0.000 0.000 0.000 1
Sb1 Sb 0.000 0.000 0.500 1
Te1 Te 0.000 0.500 0.000 1
Te2 Te 0.500 0.000 0.000 1
Ca1 Ca 0.500 0.500 0.500 1
```


No. 2
Material: CaCoSbTe2
Method: DFT, PBE-GGA
State: relaxed

Output
ΔE_f (raw) ... 442 kJ/mol of formula units
DOS at the Fermi energy ... 7.212 states/eV per cell
Raw total energy ... -2.986 eV per atom
Energy relative to the lowest polymorph listed for this composition ... 1159 meV/atom

```
data_CaCoSbTe2
_chemical_formula_sum 'Ca1 Co1 Sb1 Te2'
_cell_length_a 5.751
_cell_length_b 5.751
_cell_length_c 5.757
_cell_angle_alpha 90.00
_cell_angle_beta 90.00
_cell_angle_gamma 90.00
_symmetry_space_group_name_H-M 'P 1'
_symmetry_Int_Tables_number 1
loop_
_symmetry_equiv_pos_as_xyz
'x,y,z'
loop_
_atom_site_label
_atom_site_type_symbol
_atom_site_fract_x
_atom_site_fract_y
_atom_site_fract_z
_atom_site_occupancy
Te1 Te 0.500 0.000 0.000 1
Te2 Te 0.000 0.500 0.000 1
Co1 Co 0.500 0.500 0.500 1
Ca1 Ca 0.000 0.000 0.000 1
Sb1 Sb 0.000 0.000 0.500 1
```